# AgTe2Pb

A crystal of AgTe2Pb relaxed with PBEsol (meta-GGA SCAN, Alexandria).

Summary:
* final energy: -181.1 eV per cell
* DOS(E_F): 1.59 states/eV per cell
* uncorrected formation energy: 3.01 kcal/mol of atoms
* SG: P4mm (99)

```
AgTe2Pb
1.0
3.206 0.000 0.000
0.000 3.206 0.000
0.000 0.000 10.215
Pb Te Ag
1 2 1
Cartesian
1.603 1.603 7.255
0.000 0.000 10.048
1.603 1.603 3.100
0.000 0.000 5.136
```